1.
# CsInI2N GGA-PBE optimized geometry
data_CsInI2N
_chemical_formula_sum 'Cs1 In1 I2 N1'
_cell_length_a 6.3272
_cell_length_b 6.3272
_cell_length_c 4.5186
_cell_angle_alpha 90.00
_cell_angle_beta 90.00
_cell_angle_gamma 90.00
_symmetry_space_group_name_H-M 'P 4/m m m'
_symmetry_Int_Tables_number 123
_symmetry_space_group_name_Hall '-P 4 2'
loop_
_atom_site_label
_atom_site_fract_x
_atom_site_fract_y
_atom_site_fract_z
Cs1 0.0000 0.0000 0.0000
In1 0.5000 0.5000 0.5000
I1 0.0000 0.5000 0.5000
N1 0.5000 0.5000 0.0000
# Total magnetization: 0.26 μB per atom
# Polymorph energy (0 for the lowest one): 0 meV/atom
# D(E_F): 2.798 states/eV/cell

***

2.
# CsInI2N GGA-PBE optimized geometry
data_CsInI2N
_chemical_formula_sum 'Cs1 In1 I2 N1'
_cell_length_a 7.0723
_cell_length_b 7.0723
_cell_length_c 4.7989
_cell_angle_alpha 90.00
_cell_angle_beta 90.00
_cell_angle_gamma 90.00
_symmetry_space_group_name_H-M 'P 4/m m m'
_symmetry_Int_Tables_number 123
_symmetry_space_group_name_Hall '-P 4 2'
loop_
_atom_site_label
_atom_site_fract_x
_atom_site_fract_y
_atom_site_fract_z
Cs1 0.0000 0.0000 0.0000
In1 0.5000 0.5000 0.5000
I1 0.0000 0.5000 0.0000
N1 0.0000 0.0000 0.5000
# Total magnetization: 0.46 μB per atom
# Polymorph energy (0 for the lowest one): 785 meV/atom
# D(E_F): 4.245 states/eV/cell

***

3.
# CsNaIn2I4 GGA-PBE optimized geometry
data_CsNaIn2I4
_chemical_formula_sum 'Cs1 Na1 In2 I4'
_cell_length_a 8.7332
_cell_length_b 5.0678
_cell_length_c 8.8169
_cell_angle_alpha 90.00
_cell_angle_beta 109.40
_cell_angle_gamma 90.00
_symmetry_space_group_name_H-M 'P 1 2/m 1'
_symmetry_Int_Tables_number 10
loop_
_symmetry_equiv_pos_as_xyz
'x,y,z'
'-x,-y,-z'
'-x,y,-z'
'x,-y,z'
loop_
_atom_site_label
_atom_site_fract_x
_atom_site_fract_y
_atom_site_fract_z
Cs1 0.0000 0.0000 0.0000
Na1 0.0000 0.5000 0.5000
In1 0.5000 0.0000 0.5000
In2 0.5000 0.5000 0.0000
I1 0.2494 0.0000 0.7321
I2 0.2561 0.5000 0.2809
# Total magnetization: 0.00 μB per atom
# Total DFT energy (no corrections): -2.616 eV/atom
# D(E_F): 0.000 states/eV/cell

***

4.
# Cs2NaInI6 GGA-PBE optimized geometry
data_Cs2NaInI6
_chemical_formula_sum 'Cs8 Na4 In4 I24'
_cell_length_a 12.2545
_cell_length_b 12.2545
_cell_length_c 12.2545
_cell_angle_alpha 90.00
_cell_angle_beta 90.00
_cell_angle_gamma 90.00
_symmetry_space_group_name_H-M 'F m -3 m'
_symmetry_Int_Tables_number 225
_symmetry_space_group_name_Hall '-F 4 2 3'
loop_
_atom_site_label
_atom_site_fract_x
_atom_site_fract_y
_atom_site_fract_z
Cs1 0.2500 0.2500 0.2500
Na1 0.0000 0.0000 0.0000
In1 0.0000 0.0000 0.5000
I1 0.0000 0.0000 0.2592
# Total magnetization: 0.00 μB per atom
# Total DFT energy (no corrections): -2.564 eV/atom
# D(E_F): 0.000 states/eV/cell

***

5.
# Cs2NaInI4 GGA-PBE optimized geometry
data_Cs2NaInI4
_chemical_formula_sum 'Cs2 Na1 In1 I4'
_cell_length_a 8.9497
_cell_length_b 5.1532
_cell_length_c 9.0001
_cell_angle_alpha 90.00
_cell_angle_beta 109.09
_cell_angle_gamma 90.00
_symmetry_space_group_name_H-M 'P 1 2/m 1'
_symmetry_Int_Tables_number 10
loop_
_symmetry_equiv_pos_as_xyz
'x,y,z'
'-x,-y,-z'
'-x,y,-z'
'x,-y,z'
loop_
_atom_site_label
_atom_site_fract_x
_atom_site_fract_y
_atom_site_fract_z
Cs1 0.0000 0.0000 0.0000
Cs2 0.5000 0.5000 0.0000
Na1 0.0000 0.5000 0.5000
In1 0.5000 0.0000 0.5000
I1 0.2278 0.0000 0.7103
I2 0.2497 0.5000 0.2863
# Total magnetization: 0.00 μB per atom
# Total DFT energy (no corrections): -2.670 eV/atom
# D(E_F): 0.000 states/eV/cell

***

6.
# Cs3Na2InI6 GGA-PBE optimized geometry
data_Cs3Na2InI6
_chemical_formula_sum 'Cs6 Na4 In2 I12'
_cell_length_a 22.4085
_cell_length_b 5.1159
_cell_length_c 10.3721
_cell_angle_alpha 90.00
_cell_angle_beta 104.09
_cell_angle_gamma 90.00
_symmetry_space_group_name_H-M 'C 1 2/m 1'
_symmetry_Int_Tables_number 12
loop_
_symmetry_equiv_pos_as_xyz
'x,y,z'
'-x,-y,-z'
'-x,y,-z'
'x,-y,z'
'x+1/2,y+1/2,z'
'-x+1/2,-y+1/2,-z'
'-x+1/2,y+1/2,-z'
'x+1/2,-y+1/2,z'
loop_
_atom_site_label
_atom_site_fract_x
_atom_site_fract_y
_atom_site_fract_z
Cs1 0.0000 0.0000 0.0000
Cs2 0.1628 0.5000 0.3351
Na1 0.1714 0.5000 0.8401
In1 0.0000 0.0000 0.5000
I1 0.0157 0.5000 0.7404
I2 0.1632 0.0000 0.6162
I3 0.1768 0.0000 0.0617
# Total magnetization: 0.00 μB per atom
# Total DFT energy (no corrections): -2.676 eV/atom
# D(E_F): 0.000 states/eV/cell

***

7.
# CsNaIn2I8 GGA-PBE optimized geometry
data_CsNaIn2I8
_chemical_formula_sum 'Cs1 Na1 In2 I8'
_cell_length_a 7.7175
_cell_length_b 7.7175
_cell_length_c 11.3001
_cell_angle_alpha 90.00
_cell_angle_beta 90.00
_cell_angle_gamma 120.00
_symmetry_space_group_name_H-M 'P -3'
_symmetry_Int_Tables_number 147
loop_
_symmetry_equiv_pos_as_xyz
'x,y,z'
'-x,-y,-z'
'-y,x-y,z'
'y,-x+y,-z'
'-x+y,-x,z'
'x-y,x,-z'
loop_
_atom_site_label
_atom_site_fract_x
_atom_site_fract_y
_atom_site_fract_z
Cs1 0.0000 0.0000 0.0000
Na1 0.0000 0.0000 0.5000
In1 0.3333 0.6667 0.7507
I1 0.0109 0.6756 0.3194
I2 0.3333 0.6667 0.9955
# Total magnetization: 0.00 μB per atom
# Total DFT energy (no corrections): -2.499 eV/atom
# D(E_F): 0.000 states/eV/cell

***

8.
# Cs2NbInI6 GGA-PBE optimized geometry
data_Cs2NbInI6
_chemical_formula_sum 'Cs8 Nb4 In4 I24'
_cell_length_a 12.3741
_cell_length_b 12.3741
_cell_length_c 12.3741
_cell_angle_alpha 90.00
_cell_angle_beta 90.00
_cell_angle_gamma 90.00
_symmetry_space_group_name_H-M 'F m -3 m'
_symmetry_Int_Tables_number 225
_symmetry_space_group_name_Hall '-F 4 2 3'
loop_
_atom_site_label
_atom_site_fract_x
_atom_site_fract_y
_atom_site_fract_z
Cs1 0.2500 0.2500 0.2500
Nb1 0.0000 0.0000 0.0000
In1 0.0000 0.0000 0.5000
I1 0.0000 0.0000 0.2320
# Total magnetization: 0.20 μB per atom
# Total DFT energy (no corrections): -3.233 eV/atom
# D(E_F): 47.927 states/eV/cell

***

9.
# Cs3NdIn2I9 GGA-PBE optimized geometry
data_Cs3NdIn2I9
_chemical_formula_sum 'Cs3 Nd1 In2 I9'
_cell_length_a 8.9806
_cell_length_b 8.9806
_cell_length_c 11.0260
_cell_angle_alpha 90.00
_cell_angle_beta 90.00
_cell_angle_gamma 120.00
_symmetry_space_group_name_H-M 'P -3 m 1'
_symmetry_Int_Tables_number 164
_symmetry_space_group_name_Hall '-P 3 2"'
loop_
_atom_site_label
_atom_site_fract_x
_atom_site_fract_y
_atom_site_fract_z
Cs1 0.0000 0.0000 0.0000
Cs2 0.3333 0.6667 0.6675
Nd1 0.0000 0.0000 0.5000
In1 0.3333 0.6667 0.1492
I1 0.0000 0.5000 0.0000
I2 0.1648 0.3297 0.3393
# Total magnetization: 0.00 μB per atom
# Total DFT energy (no corrections): -2.930 eV/atom
# D(E_F): 3.073 states/eV/cell

***

10.
# CsNdIn2I6 GGA-PBE optimized geometry
data_CsNdIn2I6
_chemical_formula_sum 'Cs3 Nd3 In6 I18'
_cell_length_a 8.7634
_cell_length_b 8.7634
_cell_length_c 23.4933
_cell_angle_alpha 90.00
_cell_angle_beta 90.00
_cell_angle_gamma 120.00
_symmetry_space_group_name_H-M 'R 3'
_symmetry_Int_Tables_number 146
_symmetry_space_group_name_Hall 'R 3'
loop_
_atom_site_label
_atom_site_fract_x
_atom_site_fract_y
_atom_site_fract_z
Cs1 0.0000 0.0000 0.0000
Nd1 0.0000 0.0000 0.4832
In1 0.0000 0.0000 0.2924
In2 0.0000 0.0000 0.8069
I1 0.0090 0.3052 0.5545
I2 0.0318 0.6155 0.0639
# Total magnetization: 0.00 μB per atom
# Total DFT energy (no corrections): -3.103 eV/atom
# D(E_F): 0.000 states/eV/cell

***

11.
# CsNpInI6 GGA-PBE optimized geometry
data_CsNpInI6
_chemical_formula_sum 'Cs2 Np2 In2 I12'
_cell_length_a 8.1803
_cell_length_b 8.1803
_cell_length_c 15.0575
_cell_angle_alpha 90.00
_cell_angle_beta 90.00
_cell_angle_gamma 90.00
_symmetry_space_group_name_H-M 'P 42 n m'
_symmetry_Int_Tables_number 102
loop_
_symmetry_equiv_pos_as_xyz
'x,y,z'
'-y+1/2,x+1/2,z+1/2'
'-x,-y,z'
'y+1/2,-x+1/2,z+1/2'
'-x+1/2,y+1/2,z+1/2'
'y,x,z'
'x+1/2,-y+1/2,z+1/2'
'-y,-x,z'
loop_
_atom_site_label
_atom_site_fract_x
_atom_site_fract_y
_atom_site_fract_z
Cs1 0.0000 0.0000 0.0000
Np1 0.0000 0.0000 0.6616
In1 0.0000 0.0000 0.3334
I1 0.1718 0.1718 0.5090
I2 0.1962 0.1962 0.7939
I3 0.2411 0.2411 0.1743
# Total magnetization: 0.33 μB per atom
# Total DFT energy (no corrections): -3.750 eV/atom
# D(E_F): 7.858 states/eV/cell

***

12.
# Cs2NpInI6 GGA-PBE optimized geometry
data_Cs2NpInI6
_chemical_formula_sum 'Cs4 Np2 In2 I12'
_cell_length_a 8.9100
_cell_length_b 12.9228
_cell_length_c 9.4962
_cell_angle_alpha 90.00
_cell_angle_beta 90.00
_cell_angle_gamma 90.00
_symmetry_space_group_name_H-M 'P m m n'
_symmetry_Int_Tables_number 59
loop_
_symmetry_equiv_pos_as_xyz
'x,y,z'
'-x,-y,-z'
'-x+1/2,-y+1/2,z'
'x+1/2,y+1/2,-z'
'x+1/2,-y,-z'
'-x+1/2,y,z'
'-x,y+1/2,-z'
'x,-y+1/2,z'
loop_
_atom_site_label
_atom_site_fract_x
_atom_site_fract_y
_atom_site_fract_z
Cs1 0.2500 0.0352 0.2007
Np1 0.2500 0.7500 0.7813
In1 0.2500 0.2500 0.7145
I1 0.0072 0.7500 0.0180
I2 0.0079 0.2500 0.4373
I3 0.2500 0.5096 0.7831
# Total magnetization: 0.40 μB per atom
# Total DFT energy (no corrections): -3.730 eV/atom
# D(E_F): 11.261 states/eV/cell

***

13.
# Cs3NpIn2I9 GGA-PBE optimized geometry
data_Cs3NpIn2I9
_chemical_formula_sum 'Cs3 Np1 In2 I9'
_cell_length_a 9.0244
_cell_length_b 9.0244
_cell_length_c 11.1254
_cell_angle_alpha 90.00
_cell_angle_beta 90.00
_cell_angle_gamma 120.00
_symmetry_space_group_name_H-M 'P -3 m 1'
_symmetry_Int_Tables_number 164
_symmetry_space_group_name_Hall '-P 3 2"'
loop_
_atom_site_label
_atom_site_fract_x
_atom_site_fract_y
_atom_site_fract_z
Cs1 0.0000 0.0000 0.0000
Cs2 0.3333 0.6667 0.7060
Np1 0.0000 0.0000 0.5000
In1 0.3333 0.6667 0.1580
I1 0.0000 0.5000 0.0000
I2 0.1587 0.3175 0.3414
# Total magnetization: 0.23 μB per atom
# Total DFT energy (no corrections): -3.344 eV/atom
# D(E_F): 5.883 states/eV/cell

***

14.
# CsInIO2 GGA-PBE optimized geometry
data_CsInIO2
_chemical_formula_sum 'Cs1 In1 I1 O2'
_cell_length_a 4.6884
_cell_length_b 4.6884
_cell_length_c 7.6626
_cell_angle_alpha 90.00
_cell_angle_beta 90.00
_cell_angle_gamma 90.00
_symmetry_space_group_name_H-M 'P 4/m m m'
_symmetry_Int_Tables_number 123
_symmetry_space_group_name_Hall '-P 4 2'
loop_
_atom_site_label
_atom_site_fract_x
_atom_site_fract_y
_atom_site_fract_z
Cs1 0.0000 0.0000 0.0000
In1 0.5000 0.5000 0.5000
I1 0.0000 0.0000 0.5000
O1 0.0000 0.5000 0.0000
# Total magnetization: 0.22 μB per atom
# Polymorph energy (0 for the lowest one): 771 meV/atom
# D(E_F): 4.702 states/eV/cell

***

15.
# Cs2InI6O GGA-PBE optimized geometry
data_Cs2InI6O
_chemical_formula_sum 'Cs4 In2 I12 O2'
_cell_length_a 7.7666
_cell_length_b 7.7666
_cell_length_c 13.6863
_cell_angle_alpha 90.00
_cell_angle_beta 90.00
_cell_angle_gamma 90.00
_symmetry_space_group_name_H-M 'I 4/m m m'
_symmetry_Int_Tables_number 139
_symmetry_space_group_name_Hall '-I 4 2'
loop_
_atom_site_label
_atom_site_fract_x
_atom_site_fract_y
_atom_site_fract_z
Cs1 0.0000 0.5000 0.2500
In1 0.0000 0.0000 0.0000
I1 0.0000 0.0000 0.2213
I2 0.2265 0.2265 0.5000
O1 0.0000 0.0000 0.5000
# Total magnetization: 0.00 μB per atom
# Total DFT energy (no corrections): -2.487 eV/atom
# D(E_F): 12.217 states/eV/cell

***

16.
# CsInIO2 GGA-PBE optimized geometry
data_CsInIO2
_chemical_formula_sum 'Cs1 In1 I1 O2'
_cell_length_a 4.7450
_cell_length_b 4.7450
_cell_length_c 6.0220
_cell_angle_alpha 90.00
_cell_angle_beta 90.00
_cell_angle_gamma 90.00
_symmetry_space_group_name_H-M 'P 4/m m m'
_symmetry_Int_Tables_number 123
_symmetry_space_group_name_Hall '-P 4 2'
loop_
_atom_site_label
_atom_site_fract_x
_atom_site_fract_y
_atom_site_fract_z
Cs1 0.0000 0.0000 0.0000
In1 0.5000 0.5000 0.5000
I1 0.5000 0.5000 0.0000
O1 0.0000 0.5000 0.5000
# Total magnetization: 0.21 μB per atom
# Polymorph energy (0 for the lowest one): 0 meV/atom
# D(E_F): 2.317 states/eV/cell

***

17.
# CsPaInI6 GGA-PBE optimized geometry
data_CsPaInI6
_chemical_formula_sum 'Cs2 Pa2 In2 I12'
_cell_length_a 8.6353
_cell_length_b 8.6353
_cell_length_c 16.1016
_cell_angle_alpha 90.00
_cell_angle_beta 90.00
_cell_angle_gamma 120.00
_symmetry_space_group_name_H-M 'P -3 1 c'
_symmetry_Int_Tables_number 163
_symmetry_space_group_name_Hall '-P 3 2c'
loop_
_atom_site_label
_atom_site_fract_x
_atom_site_fract_y
_atom_site_fract_z
Cs1 0.0000 0.0000 0.0000
Pa1 0.3333 0.6667 0.2500
In1 0.3333 0.6667 0.7500
I1 0.0365 0.3881 0.1407
# Total magnetization: 0.11 μB per atom
# Total DFT energy (no corrections): -3.500 eV/atom

***

18.
# CsPaIn2I8 GGA-PBE optimized geometry
data_CsPaIn2I8
_chemical_formula_sum 'Cs1 Pa1 In2 I8'
_cell_length_a 7.8448
_cell_length_b 8.1223
_cell_length_c 10.7042
_cell_angle_alpha 89.76
_cell_angle_beta 89.97
_cell_angle_gamma 89.73
_symmetry_space_group_name_H-M 'P -1'
_symmetry_Int_Tables_number 2
loop_
_symmetry_equiv_pos_as_xyz
'x,y,z'
'-x,-y,-z'
loop_
_atom_site_label
_atom_site_fract_x
_atom_site_fract_y
_atom_site_fract_z
Cs1 0.0000 0.0000 0.0000
Pa1 0.0000 0.0000 0.5000
In1 0.4997 0.4992 0.2213
I1 0.1458 0.7787 0.6950
I2 0.1479 0.7802 0.3063
I3 0.3104 0.1998 0.5005
I4 0.4041 0.2579 0.0003
# Total magnetization: 0.00 μB per atom
# Total DFT energy (no corrections): -3.216 eV/atom

***

19.
# CsIn2PbI8 GGA-PBE optimized geometry
data_CsIn2PbI8
_chemical_formula_sum 'Cs3 In6 Pb3 I24'
_cell_length_a 7.6867
_cell_length_b 7.6867
_cell_length_c 35.2548
_cell_angle_alpha 90.00
_cell_angle_beta 90.00
_cell_angle_gamma 120.00
_symmetry_space_group_name_H-M 'R 3 2'
_symmetry_Int_Tables_number 155
_symmetry_space_group_name_Hall 'R 3 2"'
loop_
_atom_site_label
_atom_site_fract_x
_atom_site_fract_y
_atom_site_fract_z
Cs1 0.0000 0.0000 0.0000
In1 0.0000 0.0000 0.2524
Pb1 0.0000 0.0000 0.5000
I1 0.0000 0.0000 0.3320
I2 0.0078 0.3592 0.7727
# Total magnetization: 0.00 μB per atom
# Total DFT energy (no corrections): -2.503 eV/atom
# D(E_F): 21.524 states/eV/cell

***

20.
# Cs2InPbI6 GGA-PBE optimized geometry
data_Cs2InPbI6
_chemical_formula_sum 'Cs4 In2 Pb2 I12'
_cell_length_a 8.8825
_cell_length_b 8.8825
_cell_length_c 12.5085
_cell_angle_alpha 90.00
_cell_angle_beta 90.00
_cell_angle_gamma 90.00
_symmetry_space_group_name_H-M 'I 4/m m m'
_symmetry_Int_Tables_number 139
_symmetry_space_group_name_Hall '-I 4 2'
loop_
_atom_site_label
_atom_site_fract_x
_atom_site_fract_y
_atom_site_fract_z
Cs1 0.0000 0.5000 0.2500
In1 0.0000 0.0000 0.0000
Pb1 0.0000 0.0000 0.5000
I1 0.0000 0.0000 0.2454
I2 0.2458 0.2458 0.0000
# Total magnetization: 0.00 μB per atom
# Polymorph energy (0 for the lowest one): 8 meV/atom
# D(E_F): 8.052 states/eV/cell